# AsIrOs2

An optimized crystal structure of AsIrOs2 (PBE, Alexandria).

Summary:
ΔH_f (0 K): 0.44 eV per atom
Theoretical density: 18.34 g/cm3
Final energy: -8.553 eV per atom

abc: 5.252 5.252 5.252
angles: 147.91 129.73 60.89
Atoms (fractional coordinates):
As 0.000 0.000 0.000
Ir 0.226 0.726 0.500
Os 0.508 0.508 0.000
Os 0.775 0.275 0.500